Record 1
Entry from Alexandria via LeMat-Bulk: a relaxed MnAlNi2 crystal (GGA-PBEsol).

Computed properties:
V = 46.7 Å³ per cell
Energy relative to the elements = -4.67 kcal/mol of atoms
Total energy = -26.978 eV/cell

The structure in extended XYZ format:
```
4
Lattice="2.647 0.000 0.000 0.000 3.486 0.000 0.000 0.000 5.058" Properties=species:S:1:pos:R:3 pbc="T T T"
Mn 0.000 0.000 0.000
Al 1.323 1.743 3.589
Ni 0.000 0.000 2.470
Ni 1.323 1.743 1.109
```

***

Record 2
Entry from Alexandria via LeMat-Bulk: a relaxed Bi19S27Br3 crystal (GGA-PBEsol).

Computed properties:
V = 2406.3 Å³ per cell
Total energy = -451.906 eV/cell

The structure in extended XYZ format:
```
98
Lattice="13.204 7.623 3.984 -13.204 7.623 3.984 0.000 -15.247 3.984" Properties=species:S:1:pos:R:3 pbc="T T T"
Bi -5.157 -4.948 3.910
Bi 0.000 0.000 0.934
Bi -11.517 0.731 5.957
Bi -1.686 -8.358 3.893
Bi -8.046 -2.675 5.939
Bi -9.253 -6.254 7.862
Bi -0.978 -3.948 3.937
Bi -6.395 5.639 3.893
Bi -10.046 4.885 5.975
Bi -6.794 1.987 5.866
Bi -2.930 2.821 3.937
Bi 0.792 -11.143 5.975
Bi -3.956 -1.396 5.873
Bi -5.117 -4.891 7.968
Bi 1.676 -6.877 5.866
Bi -1.707 6.940 3.910
Bi 5.125 -10.340 5.957
Bi 3.908 1.127 3.937
Bi 6.864 -1.992 3.910
Bi -0.773 -4.124 7.964
Bi 3.186 -2.728 5.873
Bi 0.000 0.000 6.897
Bi -3.185 2.731 7.964
Bi 0.769 4.123 5.873
Bi 6.340 -5.631 5.939
Bi -3.906 -1.126 9.895
Bi 8.081 2.719 3.893
Bi 1.706 8.306 5.939
Bi -1.677 6.877 7.968
Bi 5.118 4.890 5.866
Bi 3.957 1.392 7.964
Bi -0.789 11.140 7.862
Bi 2.928 -2.820 9.895
Bi 6.794 -1.986 7.968
Bi 10.042 -4.886 7.862
Bi 6.392 9.608 5.957
Bi 0.978 3.945 9.895
Bi 9.254 6.257 5.975
S -8.044 -8.611 5.933
S -0.244 -12.588 3.944
S -5.993 -2.464 3.916
S -5.112 -11.268 5.920
S -10.780 6.506 3.944
S -2.421 1.117 1.922
S -8.095 3.645 3.931
S -7.210 -5.159 5.935
S 0.243 -2.655 1.922
S -5.162 0.989 3.915
S 0.891 -8.833 3.931
S -1.791 -10.239 5.932
S -9.762 -3.567 7.903
S -2.144 -1.441 3.929
S -3.435 -4.065 5.898
S 2.178 1.538 1.922
S 1.724 -4.965 3.915
S -0.891 -6.393 5.908
S -7.971 6.670 5.932
S -0.176 2.577 3.929
S -5.980 -2.425 7.925
S -5.091 3.968 5.908
S 2.320 -1.136 3.929
S -2.433 1.116 5.937
S 5.131 -3.958 3.916
S -7.202 10.061 5.920
S 0.250 -2.665 5.937
S -5.238 0.945 7.937
S 0.862 6.422 3.916
S -1.803 5.008 5.898
S 3.438 3.976 3.915
S -2.174 -1.541 7.895
S 2.183 1.549 5.937
S -3.436 11.272 5.933
S 1.801 -5.009 7.937
S -0.863 8.824 5.935
S 5.238 -0.942 5.898
S -0.248 2.653 7.895
S 7.205 5.188 3.931
S 8.073 -3.665 5.935
S 2.422 -1.112 7.895
S -2.320 1.138 9.908
S 5.090 -3.966 7.925
S 5.982 2.425 5.908
S 0.174 -2.578 9.908
S 7.970 -6.671 7.903
S 0.890 6.391 7.925
S 11.480 -2.661 5.933
S 11.024 6.083 3.944
S 3.437 4.064 7.937
S 2.146 1.440 9.908
S 9.762 3.568 5.932
S 1.792 10.238 7.903
S 12.314 1.207 5.920
Br -4.411 -7.633 5.921
Br -8.815 0.004 7.912
Br -4.405 7.637 5.921
Br 4.404 -7.636 7.912
Br 8.816 -0.004 5.921
Br 4.411 7.632 7.912
```

***

Record 3
Entry from Alexandria via LeMat-Bulk: a relaxed Zr2Be2Ni crystal (GGA-PBEsol).

Computed properties:
V = 141.6 Å³ per cell
Energy relative to the elements = -4.85 kcal/mol of atoms
Total energy = -66.777 eV/cell

The structure in extended XYZ format:
```
10
Lattice="6.178 0.000 0.000 0.000 6.178 0.000 0.000 0.000 3.708" Properties=species:S:1:pos:R:3 pbc="T T T"
Zr 1.077 2.012 0.000
Zr 2.012 5.101 0.000
Zr 4.166 1.077 0.000
Zr 5.101 4.166 0.000
Be 0.778 3.867 1.854
Be 2.311 0.778 1.854
Be 3.867 5.400 1.854
Be 5.400 2.311 1.854
Ni 0.000 0.000 1.854
Ni 3.089 3.089 1.854
```

***

Record 4
Entry from Alexandria via LeMat-Bulk: a relaxed YSbTe2Pt crystal (GGA-PBEsol).

Computed properties:
V = 143.6 Å³ per cell
Total energy = -26.119 eV/cell

The structure in extended XYZ format:
```
5
Lattice="5.336 0.000 0.000 0.000 5.336 0.000 0.000 0.000 5.044" Properties=species:S:1:pos:R:3 pbc="T T T"
Y 0.000 0.000 0.000
Sb 2.668 2.668 0.000
Te 0.000 2.668 2.522
Te 2.668 0.000 2.522
Pt 2.668 2.668 2.522
```

***

Record 5
Entry from Alexandria via LeMat-Bulk: a relaxed LaHgPd crystal (GGA-PBEsol).

Computed properties:
V = 205.5 Å³ per cell
Energy relative to the elements = -17.26 kcal/mol of atoms
Total energy = -42.350 eV/cell

The structure in extended XYZ format:
```
9
Lattice="7.713 0.000 0.000 -3.856 6.680 0.000 0.000 0.000 3.988" Properties=species:S:1:pos:R:3 pbc="T T T"
La -1.548 2.681 0.000
La 3.095 0.000 0.000
La 2.309 3.999 0.000
Hg -2.859 4.952 1.994
Hg 0.997 1.727 1.994
Hg 5.718 0.000 1.994
Pd 0.000 0.000 0.000
Pd 0.000 4.453 1.994
Pd 3.856 2.227 1.994
```

***

Record 6
Entry from Alexandria via LeMat-Bulk: a relaxed ErAg crystal (GGA-PBEsol).

Computed properties:
V = 44.2 Å³ per cell
Energy relative to the elements = -8.04 kcal/mol of atoms
Total energy = -8.936 eV/cell

The structure in extended XYZ format:
```
2
Lattice="3.537 0.000 0.000 0.000 3.537 0.000 0.000 0.000 3.537" Properties=species:S:1:pos:R:3 pbc="T T T"
Er 0.000 0.000 0.000
Ag 1.768 1.768 1.768
```

***

Record 7
Entry from Alexandria via LeMat-Bulk: a relaxed Zr2InC crystal (GGA-PBEsol).

Computed properties:
V = 143.5 Å³ per cell
Excess energy over the best structure of this formula in the dataset = 0.000 eV/atom
Energy relative to the elements = -17.95 kcal/mol of atoms
Total energy = -67.839 eV/cell

The structure in extended XYZ format:
```
8
Lattice="3.331 0.000 0.000 -1.666 2.885 0.000 0.000 0.000 14.928" Properties=species:S:1:pos:R:3 pbc="T T T"
Zr 0.000 1.923 1.231
Zr 0.000 1.923 6.233
Zr 1.666 0.962 8.696
Zr 1.666 0.962 13.697
In 0.000 1.923 11.196
In 1.666 0.962 3.732
C 0.000 0.000 0.000
C 0.000 0.000 7.464
```

***

Record 8
Entry from Alexandria via LeMat-Bulk: a relaxed K2BiP2 crystal (GGA-PBEsol).

Computed properties:
V = 268.9 Å³ per cell
Energy relative to the elements = -6.27 kcal/mol of atoms
Total energy = -38.987 eV/cell

The structure in extended XYZ format:
```
10
Lattice="7.268 0.000 0.000 0.000 7.268 0.000 0.000 0.000 5.090" Properties=species:S:1:pos:R:3 pbc="T T T"
K 1.309 2.325 0.000
K 2.325 5.959 0.000
K 4.943 1.309 0.000
K 5.959 4.943 0.000
Bi 0.000 0.000 2.545
Bi 3.634 3.634 2.545
P 0.768 4.402 2.545
P 2.866 0.768 2.545
P 4.402 6.500 2.545
P 6.500 2.866 2.545
```